1.
# PBE Ca3Np3CuN8, relaxed
# - D(E_F): 13.36 states/eV/f.u.
# - Formation energy from raw total energies: -0.76 eV per atom
data_Ca3Np3CuN8
_chemical_formula_sum 'Ca3 Np3 Cu1 N8'
_space_group_name_H-M_alt 'P -1'
_space_group_IT_number 2
_space_group_name_Hall '-P 1'
_cell_length_a 6.572
_cell_length_b 6.801
_cell_length_c 6.839
_cell_angle_alpha 119.74
_cell_angle_beta 118.68
_cell_angle_gamma 90.04
loop_
_atom_site_label
_atom_site_fract_x
_atom_site_fract_y
_atom_site_fract_z
Ca1 0.000 0.000 0.000
Ca2 0.000 0.000 0.500
Ca3 0.500 0.000 0.000
Np1 0.000 0.500 0.000
Np2 0.500 0.500 0.000
Np3 0.500 0.500 0.500
Cu1 0.000 0.500 0.500
N1 0.231 0.690 0.466
N2 0.257 0.272 0.013
N3 0.263 0.715 0.027
N4 0.265 0.310 0.535

2.
# PBE CaCu2NO, relaxed
# - D(E_F): 1.20 states/eV/f.u.
# - Formation energy from raw total energies: -0.02 eV per atom
data_CaCu2NO
_chemical_formula_sum 'Ca1 Cu2 N1 O1'
_space_group_name_H-M_alt 'P 4/m m m'
_space_group_IT_number 123
_space_group_name_Hall '-P 4 2'
_cell_length_a 3.645
_cell_length_b 3.645
_cell_length_c 6.210
_cell_angle_alpha 90.00
_cell_angle_beta 90.00
_cell_angle_gamma 90.00
loop_
_atom_site_label
_atom_site_fract_x
_atom_site_fract_y
_atom_site_fract_z
Ca1 0.000 0.000 0.000
Cu1 0.000 0.500 0.500
N1 0.500 0.500 0.000
O1 0.500 0.500 0.500

3.
# PBE Ca2CuOsN, relaxed
# - D(E_F): 1.81 states/eV/f.u.
# - Formation energy from raw total energies: -0.29 eV per atom
data_Ca2CuOsN
_chemical_formula_sum 'Ca2 Cu1 Os1 N1'
_space_group_name_H-M_alt 'P 4/m m m'
_space_group_IT_number 123
_space_group_name_Hall '-P 4 2'
_cell_length_a 5.022
_cell_length_b 5.022
_cell_length_c 3.775
_cell_angle_alpha 90.00
_cell_angle_beta 90.00
_cell_angle_gamma 90.00
loop_
_atom_site_label
_atom_site_fract_x
_atom_site_fract_y
_atom_site_fract_z
Ca1 0.000 0.500 0.000
Cu1 0.000 0.000 0.500
Os1 0.500 0.500 0.500
N1 0.500 0.500 0.000

4.
# PBE CaPa2CuN5, relaxed
# - D(E_F): 6.65 states/eV/f.u.
# - Formation energy from raw total energies: -0.92 eV per atom
data_CaPa2CuN5
_chemical_formula_sum 'Ca4 Pa8 Cu4 N20'
_space_group_name_H-M_alt 'I 4/m c m'
_space_group_IT_number 140
_space_group_name_Hall '-I 4 2c'
_cell_length_a 6.579
_cell_length_b 6.579
_cell_length_c 11.181
_cell_angle_alpha 90.00
_cell_angle_beta 90.00
_cell_angle_gamma 90.00
loop_
_atom_site_label
_atom_site_fract_x
_atom_site_fract_y
_atom_site_fract_z
Ca1 0.000 0.000 0.250
Pa1 0.173 0.327 0.000
Cu1 0.000 0.500 0.250
N1 0.000 0.000 0.000
N2 0.147 0.353 0.374

5.
# PBE CaPa2Cu2N6, relaxed
# - D(E_F): 5.69 states/eV/f.u.
# - Formation energy from raw total energies: -0.17 eV per atom
data_CaPa2Cu2N6
_chemical_formula_sum 'Ca3 Pa6 Cu6 N18'
_space_group_name_H-M_alt 'R -3 m'
_space_group_IT_number 166
_space_group_name_Hall '-R 3 2"'
_cell_length_a 5.6536
_cell_length_b 5.6536
_cell_length_c 18.0290
_cell_angle_alpha 90.00
_cell_angle_beta 90.00
_cell_angle_gamma 120.00
loop_
_atom_site_label
_atom_site_fract_x
_atom_site_fract_y
_atom_site_fract_z
Ca1 0.0000 0.0000 0.0000
Pa1 0.0000 0.0000 0.1922
Cu1 0.0000 0.0000 0.4146
N1 0.0293 0.5146 0.7723

6.
# PBE Ca3Pa3CuN8, relaxed
# - D(E_F): 3.70 states/eV/f.u.
# - Formation energy from raw total energies: -1.01 eV per atom
data_Ca3Pa3CuN8
_chemical_formula_sum 'Ca6 Pa6 Cu2 N16'
_space_group_name_H-M_alt 'C 1 2/m 1'
_space_group_IT_number 12
_space_group_name_Hall '-C 2y'
_cell_length_a 11.867
_cell_length_b 6.999
_cell_length_c 6.983
_cell_angle_alpha 90.00
_cell_angle_beta 126.03
_cell_angle_gamma 90.00
loop_
_atom_site_label
_atom_site_fract_x
_atom_site_fract_y
_atom_site_fract_z
Ca1 0.000 0.000 0.000
Ca2 0.250 0.250 0.500
Pa1 0.000 0.500 0.500
Pa2 0.250 0.250 0.000
Cu1 0.000 0.000 0.500
N1 0.021 0.265 0.751
N2 0.215 0.000 0.743
N3 0.242 0.500 0.756

7.
# PBE CaPa2CuN4, relaxed
# - D(E_F): 2.59 states/eV/f.u.
# - Formation energy from raw total energies: -1.20 eV per atom
data_CaPa2CuN4
_chemical_formula_sum 'Ca4 Pa8 Cu4 N16'
_space_group_name_H-M_alt 'C m c m'
_space_group_IT_number 63
_space_group_name_Hall '-C 2c 2'
_cell_length_a 3.538
_cell_length_b 11.487
_cell_length_c 11.635
_cell_angle_alpha 90.00
_cell_angle_beta 90.00
_cell_angle_gamma 90.00
loop_
_atom_site_label
_atom_site_fract_x
_atom_site_fract_y
_atom_site_fract_z
Ca1 0.000 0.092 0.250
Pa1 0.000 0.370 0.060
Cu1 0.000 0.179 0.750
N1 0.000 0.000 0.000
N2 0.000 0.264 0.603
N3 0.000 0.435 0.250

8.
# PBE Ca4Pa3CuN8, relaxed
# - Formation energy from raw total energies: -1.21 eV per atom
data_Ca4Pa3CuN8
_chemical_formula_sum 'Ca12 Pa9 Cu3 N24'
_space_group_name_H-M_alt 'R -3 m'
_space_group_IT_number 166
_space_group_name_Hall '-R 3 2"'
_cell_length_a 7.0191
_cell_length_b 7.0191
_cell_length_c 17.0544
_cell_angle_alpha 90.00
_cell_angle_beta 90.00
_cell_angle_gamma 120.00
loop_
_atom_site_label
_atom_site_fract_x
_atom_site_fract_y
_atom_site_fract_z
Ca1 0.0000 0.0000 0.0000
Ca2 0.0000 0.5000 0.0000
Pa1 0.0000 0.5000 0.5000
Cu1 0.0000 0.0000 0.5000
N1 0.0000 0.0000 0.2410
N2 0.0304 0.5152 0.7605

9.
# PBE Ca2CuPbN, relaxed
# - D(E_F): 3.53 states/eV/f.u.
# - Formation energy from raw total energies: -0.39 eV per atom
data_Ca2CuPbN
_chemical_formula_sum 'Ca2 Cu1 Pb1 N1'
_space_group_name_H-M_alt 'P 4/m m m'
_space_group_IT_number 123
_space_group_name_Hall '-P 4 2'
_cell_length_a 5.233
_cell_length_b 5.233
_cell_length_c 3.772
_cell_angle_alpha 90.00
_cell_angle_beta 90.00
_cell_angle_gamma 90.00
loop_
_atom_site_label
_atom_site_fract_x
_atom_site_fract_y
_atom_site_fract_z
Ca1 0.000 0.500 0.000
Cu1 0.000 0.000 0.500
Pb1 0.500 0.500 0.500
N1 0.000 0.000 0.000

10.
# PBE CaCuPdN2, relaxed
# - D(E_F): 6.45 states/eV/f.u.
# - Formation energy from raw total energies: 1.92 eV per atom
data_CaCuPdN2
_chemical_formula_sum 'Ca1 Cu1 Pd1 N2'
_space_group_name_H-M_alt 'P 4/m m m'
_space_group_IT_number 123
_space_group_name_Hall '-P 4 2'
_cell_length_a 4.216
_cell_length_b 4.216
_cell_length_c 4.965
_cell_angle_alpha 90.00
_cell_angle_beta 90.00
_cell_angle_gamma 90.00
loop_
_atom_site_label
_atom_site_fract_x
_atom_site_fract_y
_atom_site_fract_z
Ca1 0.000 0.000 0.000
Cu1 0.000 0.000 0.500
Pd1 0.500 0.500 0.500
N1 0.000 0.500 0.000

11.
# PBE CaPmCuN2, relaxed
# - Formation energy from raw total energies: -0.68 eV per atom
data_CaPmCuN2
_chemical_formula_sum 'Ca2 Pm2 Cu2 N4'
_space_group_name_H-M_alt 'P 1 2/c 1'
_space_group_IT_number 13
_space_group_name_Hall '-P 2yc'
_cell_length_a 5.454
_cell_length_b 5.022
_cell_length_c 6.619
_cell_angle_alpha 90.00
_cell_angle_beta 90.08
_cell_angle_gamma 90.00
loop_
_atom_site_label
_atom_site_fract_x
_atom_site_fract_y
_atom_site_fract_z
Ca1 0.000 0.000 0.250
Pm1 0.500 0.499 0.250
Cu1 0.000 0.500 0.000
N1 0.259 0.261 0.500

12.
# PBE Ca4Pu3CuN8, relaxed
# - D(E_F): 17.85 states/eV/f.u.
# - Formation energy from raw total energies: -0.91 eV per atom
data_Ca4Pu3CuN8
_chemical_formula_sum 'Ca8 Pu6 Cu2 N16'
_space_group_name_H-M_alt 'C 1 2/m 1'
_space_group_IT_number 12
_space_group_name_Hall '-C 2y'
_cell_length_a 11.848
_cell_length_b 6.828
_cell_length_c 6.876
_cell_angle_alpha 90.00
_cell_angle_beta 124.96
_cell_angle_gamma 90.00
loop_
_atom_site_label
_atom_site_fract_x
_atom_site_fract_y
_atom_site_fract_z
Ca1 0.000 0.000 0.000
Ca2 0.000 0.500 0.000
Ca3 0.250 0.250 0.000
Pu1 0.000 0.000 0.500
Pu2 0.250 0.250 0.500
Cu1 0.000 0.500 0.500
N1 0.017 0.232 0.284
N2 0.241 0.000 0.723
N3 0.249 0.000 0.283

13.
# PBE Ca2CuReN, relaxed
# - D(E_F): 2.83 states/eV/f.u.
# - Formation energy from raw total energies: -0.15 eV per atom
data_Ca2CuReN
_chemical_formula_sum 'Ca2 Cu1 Re1 N1'
_space_group_name_H-M_alt 'P 4/m m m'
_space_group_IT_number 123
_space_group_name_Hall '-P 4 2'
_cell_length_a 4.977
_cell_length_b 4.977
_cell_length_c 3.851
_cell_angle_alpha 90.00
_cell_angle_beta 90.00
_cell_angle_gamma 90.00
loop_
_atom_site_label
_atom_site_fract_x
_atom_site_fract_y
_atom_site_fract_z
Ca1 0.000 0.500 0.000
Cu1 0.000 0.000 0.500
Re1 0.500 0.500 0.500
N1 0.500 0.500 0.000

14.
# PBE Ca2CuRuN, relaxed
# - D(E_F): 2.21 states/eV/f.u.
# - Formation energy from raw total energies: -0.34 eV per atom
data_Ca2CuRuN
_chemical_formula_sum 'Ca2 Cu1 Ru1 N1'
_space_group_name_H-M_alt 'P 4/m m m'
_space_group_IT_number 123
_space_group_name_Hall '-P 4 2'
_cell_length_a 5.009
_cell_length_b 5.009
_cell_length_c 3.777
_cell_angle_alpha 90.00
_cell_angle_beta 90.00
_cell_angle_gamma 90.00
loop_
_atom_site_label
_atom_site_fract_x
_atom_site_fract_y
_atom_site_fract_z
Ca1 0.000 0.500 0.000
Cu1 0.000 0.000 0.500
Ru1 0.500 0.500 0.500
N1 0.500 0.500 0.000

15.
# PBE CaCuSN2, relaxed
# - D(E_F): 4.66 states/eV/f.u.
# - Energy above the lowest structure with this stoichiometry: 0.0 kJ/mol of formula units
# - Formation energy from raw total energies: 0.60 eV per atom
data_CaCuSN2
_chemical_formula_sum 'Ca1 Cu1 S1 N2'
_space_group_name_H-M_alt 'P 4/m m m'
_space_group_IT_number 123
_space_group_name_Hall '-P 4 2'
_cell_length_a 3.898
_cell_length_b 3.898
_cell_length_c 4.695
_cell_angle_alpha 90.00
_cell_angle_beta 90.00
_cell_angle_gamma 90.00
loop_
_atom_site_label
_atom_site_fract_x
_atom_site_fract_y
_atom_site_fract_z
Ca1 0.000 0.000 0.000
Cu1 0.500 0.500 0.500
S1 0.500 0.500 0.000
N1 0.000 0.500 0.500

16.
# PBE CaCuSN2, relaxed
# - D(E_F): 8.54 states/eV/f.u.
# - Energy above the lowest structure with this stoichiometry: 584.7 kJ/mol of formula units
# - Formation energy from raw total energies: 1.81 eV per atom
data_CaCuSN2
_chemical_formula_sum 'Ca1 Cu1 S1 N2'
_space_group_name_H-M_alt 'P 4/m m m'
_space_group_IT_number 123
_space_group_name_Hall '-P 4 2'
_cell_length_a 4.292
_cell_length_b 4.292
_cell_length_c 5.323
_cell_angle_alpha 90.00
_cell_angle_beta 90.00
_cell_angle_gamma 90.00
loop_
_atom_site_label
_atom_site_fract_x
_atom_site_fract_y
_atom_site_fract_z
Ca1 0.000 0.000 0.000
Cu1 0.500 0.500 0.500
S1 0.000 0.000 0.500
N1 0.000 0.500 0.000

17.
# PBE Ca2CuSN, relaxed
# - D(E_F): 0.12 states/eV/f.u.
# - Formation energy from raw total energies: -1.08 eV per atom
data_Ca2CuSN
_chemical_formula_sum 'Ca2 Cu1 S1 N1'
_space_group_name_H-M_alt 'P 4/m m m'
_space_group_IT_number 123
_space_group_name_Hall '-P 4 2'
_cell_length_a 4.894
_cell_length_b 4.894
_cell_length_c 3.727
_cell_angle_alpha 90.00
_cell_angle_beta 90.00
_cell_angle_gamma 90.00
loop_
_atom_site_label
_atom_site_fract_x
_atom_site_fract_y
_atom_site_fract_z
Ca1 0.000 0.500 0.000
Cu1 0.000 0.000 0.500
S1 0.500 0.500 0.500
N1 0.000 0.000 0.000

18.
# PBE CaSc2CuN, relaxed
# - D(E_F): 3.49 states/eV/f.u.
# - Formation energy from raw total energies: -0.65 eV per atom
data_CaSc2CuN
_chemical_formula_sum 'Ca1 Sc2 Cu1 N1'
_space_group_name_H-M_alt 'P 4/m m m'
_space_group_IT_number 123
_space_group_name_Hall '-P 4 2'
_cell_length_a 4.338
_cell_length_b 4.338
_cell_length_c 4.965
_cell_angle_alpha 90.00
_cell_angle_beta 90.00
_cell_angle_gamma 90.00
loop_
_atom_site_label
_atom_site_fract_x
_atom_site_fract_y
_atom_site_fract_z
Ca1 0.000 0.000 0.000
Sc1 0.000 0.500 0.500
Cu1 0.500 0.500 0.000
N1 0.000 0.000 0.500

19.
# PBE CaCuSeN2, relaxed
# - D(E_F): 1.84 states/eV/f.u.
# - Energy above the lowest structure with this stoichiometry: 386.0 kJ/mol of formula units
# - Formation energy from raw total energies: 1.48 eV per atom
data_CaCuSeN2
_chemical_formula_sum 'Ca1 Cu1 Se1 N2'
_space_group_name_H-M_alt 'P 4/m m m'
_space_group_IT_number 123
_space_group_name_Hall '-P 4 2'
_cell_length_a 4.445
_cell_length_b 4.445
_cell_length_c 5.879
_cell_angle_alpha 90.00
_cell_angle_beta 90.00
_cell_angle_gamma 90.00
loop_
_atom_site_label
_atom_site_fract_x
_atom_site_fract_y
_atom_site_fract_z
Ca1 0.000 0.000 0.000
Cu1 0.500 0.500 0.500
Se1 0.000 0.000 0.500
N1 0.000 0.500 0.000

20.
# PBE CaCuSeN2, relaxed
# - D(E_F): 4.38 states/eV/f.u.
# - Energy above the lowest structure with this stoichiometry: 0.0 kJ/mol of formula units
# - Formation energy from raw total energies: 0.68 eV per atom
data_CaCuSeN2
_chemical_formula_sum 'Ca1 Cu1 Se1 N2'
_space_group_name_H-M_alt 'P 4/m m m'
_space_group_IT_number 123
_space_group_name_Hall '-P 4 2'
_cell_length_a 3.967
_cell_length_b 3.967
_cell_length_c 4.880
_cell_angle_alpha 90.00
_cell_angle_beta 90.00
_cell_angle_gamma 90.00
loop_
_atom_site_label
_atom_site_fract_x
_atom_site_fract_y
_atom_site_fract_z
Ca1 0.000 0.000 0.000
Cu1 0.500 0.500 0.500
Se1 0.500 0.500 0.000
N1 0.000 0.500 0.500